PBE CsY3Zr, relaxed; E above lowest polymorph = 707.5 meV/atom; formation energy = 1.400 eV/atom
1.0
5.5583 0.0000 0.0000
0.0000 5.5583 0.0000
0.0000 0.0000 5.5583
Cs Zr Y
1 1 3
direct
0.0000 0.0000 0.0000
0.5000 0.5000 0.5000
0.5000 0.0000 0.0000
0.0000 0.0000 0.5000
0.0000 0.5000 0.0000

---

PBE YZn3Sb, relaxed; E above lowest polymorph = 0.0 meV/atom; uncorrected formation energy = 0.44 eV/atom
1.0
-0.5633 4.9600 -1.1014
-4.9688 -0.7691 -0.9224
-1.0607 0.9689 4.9059
Zn Y Sb
3 1 1
direct
0.0000 0.5000 0.0000
0.5000 0.0000 0.0000
0.0000 0.0000 0.5000
0.5000 0.5000 0.5000
0.0000 0.0000 0.0000

---

PBE LiHSe2, relaxed; E above lowest polymorph = 440.7 meV/atom
1.0
0.5069 -4.0506 -1.5863
-3.1623 -2.9794 0.5515
-2.3835 -1.3237 -3.4275
Se Li H
2 1 1
direct
0.2500 0.2500 0.2500
0.7500 0.7500 0.7500
0.5000 0.5000 0.5000
0.0000 0.0000 0.0000

---

PBE BaPmPdPt, relaxed; formation energy = -0.644 eV/atom
1.0
-0.4297 -3.2279 -4.1272
4.0100 -3.1357 -1.3133
-0.3673 -5.1905 0.7496
Pt Pd Ba Pm
1 1 1 1
direct
0.7500 0.7500 0.7500
0.2500 0.2500 0.2500
0.5000 0.5000 0.5000
0.0000 0.0000 0.0000

---

PBE Pr2ZrNpN4, relaxed; uncorrected formation energy = -1.38 eV/atom
1.0
3.4720 0.0000 0.0000
0.0000 5.9657 0.1229
0.0000 -2.0688 5.7852
Np N Pr Zr
1 4 2 1
direct
0.5000 0.5000 0.0000
0.5000 0.2393 0.2071
0.0000 0.2612 0.7918
0.5000 0.7607 0.7929
0.0000 0.7388 0.2082
0.0000 0.5000 0.5000
0.5000 0.0000 0.5000
0.0000 0.0000 0.0000

---

PBE ZrTeAs, relaxed; uncorrected formation energy = -0.49 eV/atom
1.0
-6.1992 2.9891 -3.5854
-7.2759 0.2259 -2.1214
-1.0606 2.4412 1.9630
Zr Te As
1 1 1
direct
0.6578 0.6578 0.3422
0.3054 0.3054 0.6946
0.0367 0.0367 0.9633

---

Ordered magnetic moment results: 1.4; 0.0; 0.2; 0.0; 2.4; 0.0; unit μB per cell.